Record 1
Computed, not measured: a relaxed structure of KCaS3 at the GGA-PBEsol level of DFT.

a = 5.191 Å, b = 5.191 Å, c = 5.191 Å
α = 90.00°, β = 90.00°, γ = 90.00°
Atoms (fractional coordinates):
K: 0.000 0.000 0.000
Ca: 0.500 0.500 0.500
S: 0.000 0.000 0.500
S: 0.000 0.500 0.000
S: 0.500 0.000 0.000

Properties
The value obtained for the total energy is -15.4 eV per formula unit. The space group is Pm-3m, No. 221. Its volume is 27.98 Å³/atom.

***

Record 2
Computed, not measured: a relaxed structure of TmAl7Fe5 at the GGA-PBEsol level of DFT.

a = 6.505 Å, b = 6.505 Å, c = 6.505 Å
α = 135.31°, β = 98.30°, γ = 98.32°
Atoms (fractional coordinates):
Tm: 0.000 0.000 0.000
Al: 0.209 0.501 0.708
Al: 0.232 0.732 0.500
Al: 0.345 0.345 0.000
Al: 0.357 0.015 0.341
Al: 0.667 0.667 0.000
Al: 0.674 0.015 0.659
Al: 0.794 0.501 0.292
Fe: 0.007 0.005 0.497
Fe: 0.007 0.511 0.003
Fe: 0.508 0.005 0.997
Fe: 0.508 0.511 0.503
Fe: 0.772 0.272 0.500

Properties
The space group is Imm2, No. 44. The value obtained for the energy of formation from the pure elements is -0.395 eV/atom. Its volume is 13.77 Å³/atom.